Below is a relaxed Zr2NbSn2 crystal, with properties calculated at the PBE level.

```
Zr2NbSn2
1.0
7.447 0.000 0.000
0.000 7.447 0.000
0.000 0.000 3.959
Nb Zr Sn
2 4 4
Direct
0.000 0.000 0.000
0.500 0.500 0.000
0.331 0.169 0.500
0.831 0.331 0.500
0.169 0.669 0.500
0.669 0.831 0.500
0.136 0.364 0.000
0.364 0.864 0.000
0.636 0.136 0.000
0.864 0.636 0.000
```

crystal system	tetragonal
energy of formation from the pure elements	-0.3654	eV/atom